Record 1
## RbTcIr3 (PBE)

Data for a relaxed structure of RbTcIr3.

Cell lengths 4.830, 4.830, 4.830 Å; angles 90.00, 90.00, 90.00 degrees
Positions (direct):
Ir (0.000, 0.000, 0.500)
Ir (0.000, 0.500, 0.000)
Ir (0.500, 0.000, 0.000)
Tc (0.000, 0.000, 0.000)
Rb (0.500, 0.500, 0.500)

## Properties
- formation enthalpy at 0 K (eV/f.u.) = 6.92

=====

Record 2
## RbTc3Ir (PBE)

Data for a relaxed structure of RbTc3Ir.

Cell lengths 4.887, 4.887, 4.887 Å; angles 90.00, 90.00, 90.00 degrees
Positions (direct):
Tc (0.000, 0.500, 0.000)
Tc (0.500, 0.000, 0.000)
Tc (0.000, 0.000, 0.500)
Ir (0.000, 0.000, 0.000)
Rb (0.500, 0.500, 0.500)

## Properties
- formation enthalpy at 0 K (eV/f.u.) = 8.76

=====

Record 3
## RbTcIr (PBE)

Data for a relaxed structure of RbTcIr.

Cell lengths 4.293, 4.950, 9.544 Å; angles 95.77, 90.16, 101.87 degrees
Positions (direct):
Rb (0.240, 0.713, 0.313)
Rb (0.760, 0.287, 0.687)
Tc (0.685, 0.158, 0.082)
Tc (0.315, 0.842, 0.918)
Ir (0.218, 0.329, 0.989)
Ir (0.782, 0.671, 0.011)

## Properties
- formation enthalpy at 0 K (eV/f.u.) = 1.58

=====

Record 4
## RbTcIr (PBE)

Data for a relaxed structure of RbTcIr.

Cell lengths 4.364, 4.704, 11.643 Å; angles 89.79, 80.30, 62.62 degrees
Positions (direct):
Tc (0.750, 0.067, 0.155)
Tc (0.957, 0.814, 0.983)
Rb (0.771, 0.381, 0.760)
Rb (0.319, 0.724, 0.381)
Ir (0.513, 0.619, 0.072)
Ir (0.194, 0.262, 0.065)

## Properties
- formation enthalpy at 0 K (eV/f.u.) = 1.78

=====

Record 5
## RbTcIr (PBE)

Data for a relaxed structure of RbTcIr.

Cell lengths 2.860, 4.311, 13.046 Å; angles 89.72, 86.14, 90.00 degrees
Positions (direct):
Tc (0.518, 0.251, 0.939)
Tc (0.482, 0.749, 0.061)
Ir (0.035, 0.752, 0.887)
Ir (0.965, 0.248, 0.113)
Rb (0.393, 0.745, 0.321)
Rb (0.607, 0.255, 0.679)

## Properties
- formation enthalpy at 0 K (eV/f.u.) = 1.36

=====

Record 6
## RbYTcIr2 (PBE)

Data for a relaxed structure of RbYTcIr2.

Cell lengths 4.850, 5.073, 4.850 Å; angles 90.00, 90.00, 90.00 degrees
Positions (direct):
Rb (0.000, 0.500, 0.000)
Tc (0.000, 0.000, 0.000)
Y (0.500, 0.500, 0.500)
Ir (0.500, 0.000, 0.000)
Ir (0.000, 0.000, 0.500)

## Properties
- formation enthalpy at 0 K (eV/f.u.) = 5.48

=====

Record 7
## Rb2YTcIr (PBE)

Data for a relaxed structure of Rb2YTcIr.

Cell lengths 5.717, 4.790, 5.717 Å; angles 90.00, 90.00, 90.00 degrees
Positions (direct):
Rb (0.000, 0.000, 0.500)
Rb (0.500, 0.000, 0.000)
Tc (0.000, 0.000, 0.000)
Y (0.500, 0.500, 0.500)
Ir (0.000, 0.500, 0.000)

## Properties
- formation enthalpy at 0 K (eV/f.u.) = 7.47

=====

Record 8
## RbZr2TcIr (PBE)

Data for a relaxed structure of RbZr2TcIr.

Cell lengths 5.181, 4.924, 5.181 Å; angles 90.00, 90.00, 90.00 degrees
Positions (direct):
Ir (0.000, 0.000, 0.000)
Zr (0.000, 0.000, 0.500)
Zr (0.500, 0.000, 0.000)
Rb (0.500, 0.500, 0.500)
Tc (0.000, 0.500, 0.000)

## Properties
- formation enthalpy at 0 K (eV/f.u.) = 3.92

=====

Record 9
## RbTe2Ir (PBE)

Data for a relaxed structure of RbTe2Ir.

Cell lengths 9.938, 9.938, 9.938 Å; angles 23.91, 23.91, 23.91 degrees
Positions (direct):
Ir (0.500, 0.500, 0.500)
Rb (0.000, 0.000, 0.000)
Te (0.122, 0.122, 0.122)
Te (0.878, 0.878, 0.878)

## Properties
- formation energy (no corrections) (kJ/mol of atoms) = -28.0

=====

Record 10
## RbTeIr3 (PBE)

Data for a relaxed structure of RbTeIr3.

Cell lengths 5.000, 5.000, 5.000 Å; angles 90.00, 90.00, 90.00 degrees
Positions (direct):
Te (0.000, 0.000, 0.000)
Ir (0.000, 0.500, 0.000)
Ir (0.000, 0.000, 0.500)
Ir (0.500, 0.000, 0.000)
Rb (0.500, 0.500, 0.500)

## Properties
- formation energy (no corrections) (kJ/mol of atoms) = 130.0

=====

Record 11
## RbTe2Ir (PBE)

Data for a relaxed structure of RbTe2Ir.

Cell lengths 4.167, 4.167, 8.368 Å; angles 75.58, 75.58, 60.00 degrees
Positions (direct):
Te (0.281, 0.281, 0.157)
Te (0.053, 0.053, 0.842)
Rb (0.499, 0.499, 0.502)
Ir (0.667, 0.667, 0.999)

## Properties
- formation energy (no corrections) (kJ/mol of atoms) = -48.6

=====

Record 12
## RbTeIr3 (PBE)

Data for a relaxed structure of RbTeIr3.

Cell lengths 4.910, 4.910, 4.910 Å; angles 90.00, 90.00, 90.00 degrees
Positions (direct):
Ir (0.000, 0.000, 0.500)
Ir (0.000, 0.500, 0.000)
Ir (0.500, 0.000, 0.000)
Rb (0.000, 0.000, 0.000)
Te (0.500, 0.500, 0.500)

## Properties
- formation energy (no corrections) (kJ/mol of atoms) = 297.3

=====

What energy values result from the calculations? In sequence: -0.2278 -0.2364 -0.2280 -0.2256 -0.2307 -0.2208 -0.1481 -0.2453 -0.1587 -0.1761 -0.1666 -0.1123 Ha/atom.
What calculated volume values result from the calculations? In sequence: 22.54 23.34 32.91 34.74 26.75 23.86 31.31 26.43 35.40 25.00 30.14 23.68 A^3/atom.